No. 1
{
  "formula": "KYSb",
  "functional": "PBE-GGA",
  "state": "relaxed",
  "lattice_angstrom": [[-2.105, 2.105, 6.991], [2.105, -2.105, 6.991], [2.105, 2.105, -6.991]],
  "species": ["K", "Y", "Sb"],
  "fractional_positions": [[0.000, 0.000, 0.000], [0.733, 0.733, 0.000], [0.280, 0.280, 0.000]],
  "formation_energy_uncorrected_mev_per_atom": -447.2,
  "volume_a3_per_atom": 41.3
}



No. 2
{
  "formula": "K2YSb",
  "functional": "PBE-GGA",
  "state": "relaxed",
  "lattice_angstrom": [[4.725, 0.000, 0.000], [0.000, 4.725, 0.000], [0.000, 0.000, 6.288]],
  "species": ["K", "K", "Y", "Sb"],
  "fractional_positions": [[0.000, 0.500, 0.000], [0.500, 0.000, 0.000], [0.000, 0.000, 0.500], [0.500, 0.500, 0.500]],
  "formation_energy_uncorrected_mev_per_atom": -170.9,
  "volume_a3_per_atom": 35.1
}